(1)
Below is a relaxed structure of BeTc3, with properties calculated at the GGA-PBE level.

Cell lengths 4.8592, 5.7349, 7.4005 Å; angles 90.00, 90.00, 90.00 degrees
Fractional positions:
Be: 0.5890 0.8869 0.7500
Be: 0.0890 0.6131 0.2500
Be: 0.9110 0.3869 0.7500
Be: 0.4110 0.1131 0.2500
Tc: 0.1331 0.0234 0.7500
Tc: 0.6331 0.4766 0.2500
Tc: 0.3669 0.5234 0.7500
Tc: 0.8669 0.9766 0.2500
Tc: 0.6370 0.1857 0.9512
Tc: 0.1370 0.3143 0.0488
Tc: 0.8630 0.6857 0.5488
Tc: 0.3630 0.8143 0.4512
Tc: 0.3630 0.8143 0.0488
Tc: 0.8630 0.6857 0.9512
Tc: 0.1370 0.3143 0.4512
Tc: 0.6370 0.1857 0.5488

**Calculated volume**: 12.9 Å³ per atom
**Energy of formation from the pure elements**: -0.07 eV/atom
**Density of states at the Fermi level**: 0.648 states/eV per atom
**Relative energy among the computed polymorphs**: 0 meV/atom
**Crystal system**: orthorhombic

***

(2)
Below is a relaxed structure of BeTc4, with properties calculated at the GGA-PBE level.

Cell lengths 4.9857, 4.9857, 4.9857 Å; angles 94.99, 94.99, 145.70 degrees
Fractional positions:
Be: 0.0000 0.0000 0.0000
Tc: 0.2139 0.5894 0.8033
Tc: 0.5894 0.7861 0.3754
Tc: 0.7861 0.4106 0.1967
Tc: 0.4106 0.2139 0.6246

**Calculated volume**: 13.3 Å³ per atom
**Energy of formation from the pure elements**: -0.02 eV/atom
**Density of states at the Fermi level**: 0.918 states/eV per atom
**Relative energy among the computed polymorphs**: 0 meV/atom
**Crystal system**: tetragonal

***

(3)
Below is a relaxed structure of Be2Tc, with properties calculated at the GGA-PBE level.

Cell lengths 5.3280, 5.3280, 5.3280 Å; angles 90.00, 90.00, 90.00 degrees
Last column: magnetic moment on the atom in μB.
Fractional positions:
Be: 0.6203 0.6203 0.3797  -0.02
Be: 0.3797 0.3797 0.6203  -0.02
Be: 0.1203 0.8797 0.6203  -0.02
Be: 0.8797 0.1203 0.3797  -0.02
Be: 0.3797 0.1203 0.1203  -0.02
Be: 0.6203 0.8797 0.8797  -0.02
Be: 0.8797 0.3797 0.8797  -0.02
Be: 0.1203 0.6203 0.1203  -0.02
Tc: 0.0000 0.0000 0.0000  0.91
Tc: 0.5000 0.5000 0.0000  0.91
Tc: 0.5000 0.0000 0.5000  0.91
Tc: 0.0000 0.5000 0.5000  0.91

**Calculated volume**: 12.6 Å³ per atom
**Energy of formation from the pure elements**: 1.11 eV/atom
**Density of states at the Fermi level**: 0.550 states/eV per atom
**Relative energy among the computed polymorphs**: 1509 meV/atom
**Crystal system**: cubic

***

(4)
Below is a relaxed structure of BeTc3, with properties calculated at the GGA-PBE level.

Cell lengths 5.2926, 5.2926, 8.7834 Å; angles 90.00, 90.00, 120.00 degrees
Fractional positions:
Be: 0.0000 0.0000 0.0000
Be: 0.0000 0.0000 0.5000
Be: 0.3333 0.6667 0.2500
Be: 0.6667 0.3333 0.7500
Tc: 0.5000 0.0000 0.0000
Tc: 0.5000 0.0000 0.5000
Tc: 0.0000 0.5000 0.0000
Tc: 0.5000 0.5000 0.0000
Tc: 0.5000 0.5000 0.5000
Tc: 0.0000 0.5000 0.5000
Tc: 0.8390 0.6779 0.2500
Tc: 0.1610 0.3221 0.7500
Tc: 0.3221 0.1610 0.2500
Tc: 0.8390 0.1610 0.2500
Tc: 0.1610 0.8390 0.7500
Tc: 0.6779 0.8390 0.7500

**Calculated volume**: 13.3 Å³ per atom
**Energy of formation from the pure elements**: 0.08 eV/atom
**Density of states at the Fermi level**: 0.815 states/eV per atom
**Relative energy among the computed polymorphs**: 148 meV/atom
**Crystal system**: hexagonal

***

(5)
Below is a relaxed structure of Be22Tc, with properties calculated at the GGA-PBE level.

Cell lengths 8.1315, 8.1315, 8.1315 Å; angles 60.00, 60.00, 60.00 degrees
Fractional positions:
Be: 0.3242 0.5569 0.7947
Be: 0.3242 0.2947 0.0569
Be: 0.0569 0.8242 0.3242
Be: 0.7947 0.8242 0.3242
Be: 0.3242 0.5569 0.3242
Be: 0.3242 0.2947 0.3242
Be: 0.7947 0.8242 0.0569
Be: 0.0569 0.8242 0.7947
Be: 0.7947 0.5569 0.3242
Be: 0.0569 0.2947 0.3242
Be: 0.3242 0.8242 0.7947
Be: 0.3242 0.8242 0.0569
Be: 0.6758 0.7053 0.9431
Be: 0.6758 0.4431 0.2053
Be: 0.9431 0.1758 0.6758
Be: 0.2053 0.1758 0.6758
Be: 0.6758 0.1758 0.9431
Be: 0.6758 0.1758 0.2053
Be: 0.2053 0.4431 0.6758
Be: 0.9431 0.7053 0.6758
Be: 0.2053 0.1758 0.9431
Be: 0.9431 0.1758 0.2053
Be: 0.6758 0.7053 0.6758
Be: 0.6758 0.4431 0.6758
Be: 0.4898 0.2602 0.4898
Be: 0.7602 0.9898 0.7602
Be: 0.7602 0.2602 0.4898
Be: 0.4898 0.9898 0.7602
Be: 0.4898 0.2602 0.7602
Be: 0.7602 0.9898 0.4898
Be: 0.5102 0.0102 0.2398
Be: 0.2398 0.7398 0.5102
Be: 0.2398 0.0102 0.2398
Be: 0.5102 0.7398 0.5102
Be: 0.5102 0.7398 0.2398
Be: 0.2398 0.0102 0.5102
Be: 0.0000 0.0000 0.0000
Be: 0.0000 0.5000 0.5000
Be: 0.5000 0.5000 0.0000
Be: 0.0000 0.5000 0.0000
Be: 0.5000 0.5000 0.5000
Be: 0.5000 0.0000 0.0000
Be: 0.0000 0.0000 0.5000
Be: 0.5000 0.0000 0.5000
Tc: 0.1250 0.6250 0.1250
Tc: 0.8750 0.3750 0.8750

**Calculated volume**: 8.3 Å³ per atom
**Energy of formation from the pure elements**: -0.09 eV/atom
**Density of states at the Fermi level**: 0.146 states/eV per atom
**Crystal system**: cubic

***

(6)
Below is a relaxed structure of Be2Tc, with properties calculated at the GGA-PBE level.

Cell lengths 4.5104, 4.5104, 4.5104 Å; angles 147.84, 140.11, 52.13 degrees
Fractional positions:
Be: 0.8155 0.3155 0.5000
Be: 0.1845 0.6845 0.5000
Tc: 0.5000 0.0000 0.5000

**Calculated volume**: 10.4 Å³ per atom
**Energy of formation from the pure elements**: -0.06 eV/atom
**Density of states at the Fermi level**: 0.542 states/eV per atom
**Relative energy among the computed polymorphs**: 339 meV/atom
**Crystal system**: orthorhombic

***

(7)
Below is a relaxed structure of Be2Tc, with properties calculated at the GGA-PBE level.

Cell lengths 4.5670, 4.5670, 4.5670 Å; angles 121.29, 121.29, 87.78 degrees
Fractional positions:
Be: 0.1807 0.6807 0.8615
Be: 0.8193 0.3193 0.1385
Be: 0.6807 0.8193 0.5000
Be: 0.3193 0.1807 0.5000
Tc: 0.7500 0.7500 0.0000
Tc: 0.2500 0.2500 0.0000

**Calculated volume**: 11.0 Å³ per atom
**Energy of formation from the pure elements**: 0.20 eV/atom
**Density of states at the Fermi level**: 0.758 states/eV per atom
**Relative energy among the computed polymorphs**: 599 meV/atom
**Crystal system**: tetragonal

***

(8)
Below is a relaxed structure of BeTc5, with properties calculated at the GGA-PBE level.

Cell lengths 5.0945, 5.0945, 4.2310 Å; angles 90.00, 90.00, 131.04 degrees
Fractional positions:
Be: 0.5000 0.5000 0.0000
Tc: 0.3387 0.6613 0.5000
Tc: 0.1640 0.8360 0.0000
Tc: 0.0000 0.0000 0.5000
Tc: 0.8360 0.1640 0.0000
Tc: 0.6613 0.3387 0.5000

**Calculated volume**: 13.8 Å³ per atom
**Energy of formation from the pure elements**: 0.05 eV/atom
**Density of states at the Fermi level**: 0.694 states/eV per atom
**Relative energy among the computed polymorphs**: 65 meV/atom
**Crystal system**: orthorhombic